# NbSn2

A relaxed NbSn2 crystal (GGA-PBE, the Alexandria database).

a = 3.0718 Å, b = 3.2010 Å, c = 7.2736 Å
α = 77.30°, β = 87.76°, γ = 79.23°
Closest atoms and distances in Å follow each position.
Fractional positions:
Nb 0.0000 0.0000 0.0000  8 Sn 2.92-3.22, 4 Nb 3.07-3.20
Sn 0.4994 0.6507 0.7004  4 Nb 2.92-3.22, 6 Sn 3.07-3.27
Sn 0.5006 0.3493 0.2996  4 Nb 2.92-3.22, 6 Sn 3.07-3.27

---

# NbSn4

A relaxed NbSn4 crystal (GGA-PBE, the Alexandria database).

a = 5.4057 Å, b = 5.4057 Å, c = 5.4057 Å
α = 90.00°, β = 90.00°, γ = 90.00°
Closest atoms and distances in Å follow each position.
Fractional positions:
Nb 0.0000 0.0000 0.0000  6 Sn 2.70
Sn 0.0000 0.0000 0.5000  2 Nb 2.70
Sn 0.0000 0.5000 0.0000  2 Nb 2.70
Sn 0.5000 0.0000 0.0000  2 Nb 2.70
Sn 0.5000 0.5000 0.5000  12 Sn 3.82

---

# NbSn3

A relaxed NbSn3 crystal (GGA-PBE, the Alexandria database).

a = 5.4849 Å, b = 5.4849 Å, c = 9.6402 Å
α = 90.00°, β = 90.00°, γ = 139.63°
Closest atoms and distances in Å follow each position.
Fractional positions:
Nb 0.2285 0.7715 0.7500  9 Sn 2.88-3.07
Nb 0.7715 0.2285 0.2500  9 Sn 2.88-3.07
Sn 0.0512 0.9488 0.2500  3 Nb 2.88-2.95
Sn 0.3589 0.6411 0.0366  3 Nb 2.94-3.07, 3 Sn 2.99-3.02
Sn 0.3589 0.6411 0.4634  3 Nb 2.94-3.07, 3 Sn 2.99-3.02
Sn 0.6411 0.3589 0.5366  3 Nb 2.94-3.07, 3 Sn 2.99-3.02
Sn 0.6411 0.3589 0.9634  3 Nb 2.94-3.07, 3 Sn 2.99-3.02
Sn 0.9488 0.0512 0.7500  3 Nb 2.88-2.95

---

# NbSn3

A relaxed NbSn3 crystal (GGA-PBE, the Alexandria database).

a = 5.7561 Å, b = 5.7561 Å, c = 5.7561 Å
α = 147.78°, β = 81.82°, γ = 107.23°
Closest atoms and distances in Å follow each position.
Fractional positions:
Nb 0.0000 0.0000 0.0000  8 Sn 2.87-3.09, 2 Nb 3.19
Sn 0.0966 0.7847 0.3119  6 Sn 2.99-3.28, 3 Nb 3.00-3.09
Sn 0.4728 0.7847 0.6881  6 Sn 2.99-3.28, 3 Nb 3.00-3.09
Sn 0.6512 0.1512 0.5000  2 Nb 2.87, 4 Sn 2.99-3.19

---

# NbSn

A relaxed NbSn crystal (GGA-PBE, the Alexandria database).

a = 7.6352 Å, b = 7.6352 Å, c = 7.6352 Å
α = 92.64°, β = 92.64°, γ = 155.19°
Closest atoms and distances in Å follow each position.
Fractional positions:
Nb 0.0956 0.3773 0.4730  4 Nb 2.84, 4 Sn 2.93-3.04
Nb 0.3773 0.9044 0.2817  4 Nb 2.84, 4 Sn 2.93-3.04
Nb 0.6227 0.0956 0.7183  4 Nb 2.84, 4 Sn 2.93-3.04
Nb 0.9044 0.6227 0.5270  4 Nb 2.84, 4 Sn 2.93-3.04
Sn 0.1006 0.8247 0.9254  4 Nb 2.93-3.04, 4 Sn 3.01-3.28
Sn 0.1753 0.1006 0.2759  4 Nb 2.93-3.04, 4 Sn 3.01-3.28
Sn 0.8247 0.8994 0.7241  4 Nb 2.93-3.04, 4 Sn 3.01-3.28
Sn 0.8994 0.1753 0.0746  4 Nb 2.93-3.04, 4 Sn 3.01-3.28

---

# NbSn2

A relaxed NbSn2 crystal (GGA-PBE, the Alexandria database).

a = 5.6721 Å, b = 5.6721 Å, c = 5.6721 Å
α = 104.19°, β = 104.19°, γ = 120.65°
Closest atoms and distances in Å follow each position.
Fractional positions:
Nb 0.2500 0.2500 0.0000  2 Nb 2.81, 8 Sn 2.97
Nb 0.7500 0.7500 0.0000  2 Nb 2.81, 8 Sn 2.97
Sn 0.1596 0.6596 0.8192  4 Nb 2.97, 3 Sn 3.15-3.33
Sn 0.3404 0.1596 0.5000  4 Nb 2.97, 3 Sn 3.15-3.33
Sn 0.6596 0.8404 0.5000  4 Nb 2.97, 3 Sn 3.15-3.33
Sn 0.8404 0.3404 0.1808  4 Nb 2.97, 3 Sn 3.15-3.33

---

So what do the calculations give for calculated volume? Going down the list: 69, 158, 94, 95, 46, 68 Å³/f.u..
So what do the calculations give for DFT total energy? Going down the list: -5.961, -4.788, -5.568, -5.528, -6.901, -6.131 eV per atom.
So what do the calculations give for formation energy from the elements? Going down the list: 0.0638, 0.4286, -0.0487, -0.0082, 0.1355, -0.1060 eV per atom.